This record from Alexandria via LeMat-Bulk describes a crystal of ZrCuSi2 relaxed with PBEsol. The functional is meta-GGA SCAN.

- Energy relative to the elements, uncorrected: -0.540 eV per atom
- Volume: 15.12 Å³/atom
- Magnetic moment: 0.0 Bohr magnetons per cell
- Space group: No. 129
- Density of states at the Fermi level: 3.6 states/eV/cell
- Final energy: -17.023 eV/atom
- Calculated density: 5.791 g/cm³

Cell: 3.6699 3.6699 8.9812 Å, 90.00 90.00 90.00°
Fractional positions:
Zr1 0.2500 0.2500 0.2355
Zr2 0.7500 0.7500 0.7645
Cu1 0.2500 0.7500 0.5000
Cu2 0.7500 0.2500 0.5000
Si1 0.2500 0.2500 0.6700
Si2 0.2500 0.7500 0.0000
Si3 0.7500 0.2500 0.0000
Si4 0.7500 0.7500 0.3300

=====

This record from Alexandria via LeMat-Bulk describes a crystal of ZrCuSi2 relaxed with PBEsol. The functional is meta-GGA SCAN.

- Energy relative to the elements, uncorrected: -0.358 eV per atom
- Volume: 15.19 Å³/atom
- Magnetic moment: 0.0 Bohr magnetons per cell
- Space group: No. 47
- Density of states at the Fermi level: 1.6 states/eV/cell
- Final energy: -16.840 eV/atom
- Calculated density: 5.763 g/cm³

Cell: 2.9687 3.9478 5.1859 Å, 90.00 90.00 90.00°
Fractional positions:
Zr1 0.0000 0.0000 0.0000
Cu1 0.5000 0.0000 0.5000
Si1 0.5000 0.5000 0.2506
Si2 0.5000 0.5000 0.7494

=====

This record from Alexandria via LeMat-Bulk describes a crystal of SmCu relaxed with PBEsol. The functional is meta-GGA SCAN.

- Formation energy from the elements: -258 meV per atom
- Volume: 21.54 Å³/atom
- Magnetic moment: 0.0 Bohr magnetons per cell
- Space group: No. 62
- Density of states at the Fermi level: 3.5 states/eV/cell
- Final energy: -30.078 eV/atom
- Calculated density: 8.244 g/cm³

Cell: 7.1891 4.4391 5.4004 Å, 90.00 90.00 90.00°
Fractional positions:
Sm1 0.1797 0.2500 0.1232
Sm2 0.3203 0.7500 0.6232
Sm3 0.6797 0.2500 0.3768
Sm4 0.8203 0.7500 0.8768
Cu1 0.0331 0.2500 0.6172
Cu2 0.4669 0.7500 0.1172
Cu3 0.5331 0.2500 0.8828
Cu4 0.9669 0.7500 0.3828

=====

This record from Alexandria via LeMat-Bulk describes a crystal of SmCu5 relaxed with PBEsol. The functional is meta-GGA SCAN.

- Formation energy from the elements: -196 meV per atom
- Volume: 14.49 Å³/atom
- Magnetic moment: 0.0 Bohr magnetons per cell
- Space group: No. 191
- Density of states at the Fermi level: 2.8 states/eV/cell
- Final energy: -20.269 eV/atom
- Calculated density: 8.939 g/cm³

Cell: 5.0049 5.0049 4.0083 Å, 90.00 90.00 120.00°
Fractional positions:
Sm1 0.0000 0.0000 0.0000
Cu1 0.0000 0.5000 0.5000
Cu2 0.3333 0.6667 0.0000
Cu3 0.5000 0.0000 0.5000
Cu4 0.5000 0.5000 0.5000
Cu5 0.6667 0.3333 0.0000